Record 1
Compound: TmAsPtO
Source: OQMD via LeMat-Bulk
Functional: PBE
Structure: optimized geometry

a = 4.0729 Å, b = 4.0729 Å, c = 8.4524 Å
α = 95.39°, β = 95.39°, γ = 90.40°
Positions (direct):
1 Tm 0.7865 0.7865 0.8792
2 Tm 0.3332 0.3332 0.1028
3 Pt 0.7054 0.2113 0.6014
4 Pt 0.2113 0.7054 0.6014
5 O 0.8131 0.3112 0.0018
6 O 0.3112 0.8131 0.0018
7 As 0.1636 0.1636 0.4161
8 As 0.6756 0.6756 0.3953

Properties
The value obtained for the polymorph energy (0 for the lowest one) is 0.053 eV/atom.


Record 2
Compound: Ta2Ni
Source: OQMD via LeMat-Bulk
Functional: PBE
Structure: optimized geometry

a = 7.4567 Å, b = 7.4567 Å, c = 7.4567 Å
α = 60.00°, β = 60.00°, γ = 60.00°
Positions (direct):
1 Ni 0.5000 0.5000 0.5000
2 Ni 0.2500 0.2500 0.2500
3 Ta 0.8750 0.3750 0.3750
4 Ta 0.3750 0.8750 0.3750
5 Ta 0.3750 0.3750 0.8750
6 Ta 0.3750 0.3750 0.3750

Properties
For the formation energy, the calculation gives 3.345 eV per atom.


Record 3
Compound: PuTlBi
Source: OQMD via LeMat-Bulk
Functional: PBE
Structure: optimized geometry

a = 5.2930 Å, b = 5.2930 Å, c = 5.2930 Å
α = 60.00°, β = 60.00°, γ = 60.00°
Positions (direct):
1 Tl 0.5000 0.5000 0.5000
2 Bi 0.0000 0.0000 0.0000
3 Pu 0.7500 0.7500 0.7500

Properties
The value obtained for the polymorph energy (0 for the lowest one) is 0.000 eV/atom.


Record 4
Compound: CoCuBAu
Source: OQMD via LeMat-Bulk
Functional: PBE
Structure: optimized geometry

a = 4.0393 Å, b = 4.0393 Å, c = 4.0393 Å
α = 60.00°, β = 60.00°, γ = 60.00°
Positions (direct):
1 B 0.0000 0.0000 0.0000
2 Cu 0.5000 0.5000 0.5000
3 Au 0.2500 0.2500 0.2500
4 Co 0.7500 0.7500 0.7500

Properties
The value obtained for the polymorph energy (0 for the lowest one) is 0.000 eV/atom.


Record 5
Compound: AlCd4SiPt2
Source: OQMD via LeMat-Bulk
Functional: PBE
Structure: optimized geometry

a = 8.8546 Å, b = 4.3795 Å, c = 4.3795 Å
α = 59.97°, β = 90.00°, γ = 90.00°
Positions (direct):
1 Al 0.0000 0.9998 0.9998
2 Cd 0.6746 0.3334 0.3334
3 Cd 0.3254 0.3334 0.3334
4 Cd 0.8310 0.6664 0.6664
5 Cd 0.1690 0.6664 0.6664
6 Si 0.5000 0.0004 0.0004
7 Pt 0.0000 0.3331 0.3331
8 Pt 0.5000 0.6671 0.6671


Record 6
Compound: ZnHgTe2
Source: OQMD via LeMat-Bulk
Functional: PBE
Structure: optimized geometry

a = 5.2707 Å, b = 5.2707 Å, c = 5.2707 Å
α = 60.00°, β = 60.00°, γ = 60.00°
Positions (direct):
1 Hg 0.2500 0.2500 0.2500
2 Zn 0.5000 0.5000 0.5000
3 Te 0.0000 0.0000 0.0000
4 Te 0.7500 0.7500 0.7500


Record 7
Compound: Rb2AgSe2
Source: OQMD via LeMat-Bulk
Functional: PBE
Structure: optimized geometry

a = 4.0501 Å, b = 6.4935 Å, c = 6.9715 Å
α = 78.30°, β = 89.98°, γ = 108.18°
Positions (direct):
1 Ag 0.5000 0.0000 0.0000
2 Rb 0.1606 0.3217 0.2856
3 Rb 0.8394 0.6783 0.7144
4 Se 0.1091 0.2180 0.7942
5 Se 0.8908 0.7820 0.2058


Record 8
Compound: PrTa2Sb
Source: OQMD via LeMat-Bulk
Functional: PBE
Structure: optimized geometry

a = 3.2657 Å, b = 3.2657 Å, c = 19.5532 Å
α = 90.00°, β = 90.00°, γ = 120.00°
Positions (direct):
1 Ta 0.1666 0.8334 0.8883
2 Ta 0.1666 0.8334 0.6117
3 Ta 0.8334 0.1666 0.1117
4 Ta 0.8334 0.1666 0.3883
5 Sb 0.5000 0.5000 0.0000
6 Sb 0.5000 0.5000 0.5000
7 Pr 0.1667 0.8333 0.2500
8 Pr 0.8333 0.1667 0.7500


Record 9
Compound: TaNiBPd
Source: OQMD via LeMat-Bulk
Functional: PBE
Structure: optimized geometry

a = 4.1834 Å, b = 4.1834 Å, c = 4.1834 Å
α = 60.00°, β = 60.00°, γ = 60.00°
Positions (direct):
1 Pd 0.2500 0.2500 0.2500
2 Ta 0.5000 0.5000 0.5000
3 B 0.0000 0.0000 0.0000
4 Ni 0.7500 0.7500 0.7500

Properties
The value obtained for the polymorph energy (0 for the lowest one) is 0.260 eV/atom.


Record 10
Compound: Nb2SnC
Source: OQMD via LeMat-Bulk
Functional: PBE
Structure: optimized geometry

a = 5.6691 Å, b = 5.6691 Å, c = 14.2988 Å
α = 101.46°, β = 101.46°, γ = 59.97°
Positions (direct):
1 Sn 0.9176 0.0824 0.2500
2 Sn 0.5843 0.7490 0.2500
3 Sn 0.7490 0.5843 0.7500
4 Sn 0.2510 0.4157 0.2500
5 Sn 0.4157 0.2510 0.7500
6 Sn 0.0824 0.9176 0.7500
7 C 0.5000 0.0000 0.0000
8 C 0.6666 0.1668 0.5000
9 C 0.0000 0.5000 0.5000
10 C 0.3334 0.8332 0.5000
11 C 0.1668 0.6666 0.0000
12 C 0.8332 0.3334 0.0000
13 Nb 0.3059 0.1390 0.4174
14 Nb 0.3611 0.5278 0.5828
15 Nb 0.1946 0.0274 0.0826
16 Nb 0.8610 0.6941 0.0826
17 Nb 0.5278 0.3611 0.0828
18 Nb 0.6941 0.8610 0.5826
19 Nb 0.6389 0.4722 0.4172
20 Nb 0.0274 0.1946 0.5826
21 Nb 0.4722 0.6389 0.9172
22 Nb 0.9726 0.8054 0.4174
23 Nb 0.8054 0.9726 0.9174
24 Nb 0.1390 0.3059 0.9174


Record 11
Compound: ScFeGePt
Source: OQMD via LeMat-Bulk
Functional: PBE
Structure: optimized geometry

a = 4.3935 Å, b = 4.3935 Å, c = 4.3935 Å
α = 60.00°, β = 60.00°, γ = 60.00°
Positions (direct):
1 Pt 0.2500 0.2500 0.2500
2 Sc 0.5000 0.5000 0.5000
3 Ge 0.0000 0.0000 0.0000
4 Fe 0.7500 0.7500 0.7500

Properties
The value obtained for the polymorph energy (0 for the lowest one) is 0.000 eV/atom.


Record 12
Compound: Rb2LiReF6
Source: OQMD via LeMat-Bulk
Functional: PBE
Structure: optimized geometry

a = 5.7267 Å, b = 5.7267 Å, c = 5.7267 Å
α = 119.52°, β = 119.52°, γ = 90.83°
Positions (direct):
1 F 0.7499 0.7499 0.0000
2 F 0.2462 0.7538 0.0000
3 F 0.7538 0.7538 0.5075
4 F 0.2501 0.2501 0.0000
5 F 0.7538 0.2462 0.0000
6 F 0.2462 0.2462 0.4925
7 Li 0.0000 0.0000 0.0000
8 Re 0.5000 0.5000 0.0000
9 Rb 0.2500 0.7500 0.5000
10 Rb 0.7500 0.2500 0.5000


Record 13
Compound: BaAlAg
Source: OQMD via LeMat-Bulk
Functional: PBE
Structure: optimized geometry

a = 5.3508 Å, b = 5.3508 Å, c = 5.3508 Å
α = 60.00°, β = 60.00°, γ = 60.00°
Positions (direct):
1 Al 0.7500 0.7500 0.7500
2 Ag 0.2500 0.2500 0.2500
3 Ba 0.0000 0.0000 0.0000


Record 14
Compound: KBaHoSe3
Source: OQMD via LeMat-Bulk
Functional: PBE
Structure: optimized geometry

a = 9.5846 Å, b = 9.5846 Å, c = 10.8246 Å
α = 105.16°, β = 105.16°, γ = 26.07°
Positions (direct):
1 Se 0.3203 0.3203 0.7427
2 Se 0.6797 0.6797 0.2573
3 Se 0.5000 0.5000 0.5000
4 Se 0.3297 0.3297 0.1074
5 Se 0.0000 0.0000 0.0000
6 Se 0.6703 0.6703 0.8926
7 K 0.8557 0.8557 0.4251
8 K 0.1443 0.1443 0.5749
9 Ho 0.1765 0.1765 0.0815
10 Ho 0.8235 0.8235 0.9185
11 Ba 0.4948 0.4948 0.7813
12 Ba 0.5052 0.5052 0.2187

Properties
The value obtained for the polymorph energy (0 for the lowest one) is 0.000 eV/atom.


Record 15
Compound: Mo2AsOs
Source: OQMD via LeMat-Bulk
Functional: PBE
Structure: optimized geometry

a = 4.4196 Å, b = 4.4196 Å, c = 4.4196 Å
α = 60.00°, β = 60.00°, γ = 60.00°
Positions (direct):
1 As 0.5000 0.5000 0.5000
2 Mo 0.7500 0.7500 0.7500
3 Mo 0.0000 0.0000 0.0000
4 Os 0.2500 0.2500 0.2500


Record 16
Compound: BeBiSbW
Source: OQMD via LeMat-Bulk
Functional: PBE
Structure: optimized geometry

a = 4.8610 Å, b = 4.8610 Å, c = 4.8610 Å
α = 60.00°, β = 60.00°, γ = 60.00°
Positions (direct):
1 Bi 0.0000 0.0000 0.0000
2 Be 0.7500 0.7500 0.7500
3 Sb 0.2500 0.2500 0.2500
4 W 0.5000 0.5000 0.5000

Properties
The value obtained for the polymorph energy (0 for the lowest one) is 0.185 eV/atom.


Record 17
Compound: RbSmBe
Source: OQMD via LeMat-Bulk
Functional: PBE
Structure: optimized geometry

a = 5.1877 Å, b = 5.1877 Å, c = 5.1877 Å
α = 60.00°, β = 60.00°, γ = 60.00°
Positions (direct):
1 Rb 0.7500 0.7500 0.7500
2 Be 0.2500 0.2500 0.2500
3 Sm 0.0000 0.0000 0.0000


Record 18
Compound: LiHf3Ge5
Source: OQMD via LeMat-Bulk
Functional: PBE
Structure: optimized geometry

a = 5.8215 Å, b = 5.8215 Å, c = 6.8355 Å
α = 90.00°, β = 90.00°, γ = 120.00°
Positions (direct):
1 Li 0.0000 0.0000 0.0000
2 Ge 0.6667 0.3333 0.8246
3 Ge 0.3333 0.6667 0.8246
4 Ge 0.6667 0.3333 0.1754
5 Ge 0.3333 0.6667 0.1754
6 Ge 0.0000 0.0000 0.5000
7 Hf 0.5000 0.5000 0.5000
8 Hf 0.5000 0.0000 0.5000
9 Hf 0.0000 0.5000 0.5000


Record 19
Compound: Li2AgO3
Source: OQMD via LeMat-Bulk
Functional: PBE
Structure: optimized geometry

a = 5.2283 Å, b = 5.2283 Å, c = 5.1217 Å
α = 99.57°, β = 99.57°, γ = 120.25°
Positions (direct):
1 O 0.7519 0.7519 0.7409
2 O 0.4096 0.0715 0.7543
3 O 0.9285 0.5904 0.2457
4 O 0.5904 0.9285 0.2457
5 O 0.0715 0.4096 0.7543
6 O 0.2481 0.2481 0.2591
7 Li 0.5000 0.5000 0.0000
8 Li 0.6669 0.3331 0.5000
9 Li 0.3331 0.6669 0.5000
10 Li 0.0000 0.0000 0.5000
11 Ag 0.8350 0.1650 0.0000
12 Ag 0.1650 0.8350 0.0000


Record 20
Compound: HfNiSbPd
Source: OQMD via LeMat-Bulk
Functional: PBE
Structure: optimized geometry

a = 4.5912 Å, b = 4.5912 Å, c = 4.5912 Å
α = 60.00°, β = 60.00°, γ = 60.00°
Positions (direct):
1 Sb 0.0000 0.0000 0.0000
2 Hf 0.5000 0.5000 0.5000
3 Pd 0.2500 0.2500 0.2500
4 Ni 0.7500 0.7500 0.7500

Properties
The value obtained for the polymorph energy (0 for the lowest one) is 0.000 eV/atom.


Record 21
Compound: CdGaCuAu
Source: OQMD via LeMat-Bulk
Functional: PBE
Structure: optimized geometry

a = 4.5887 Å, b = 4.5887 Å, c = 4.5887 Å
α = 60.00°, β = 60.00°, γ = 60.00°
Positions (direct):
1 Cd 0.5000 0.5000 0.5000
2 Ga 0.0000 0.0000 0.0000
3 Cu 0.7500 0.7500 0.7500
4 Au 0.2500 0.2500 0.2500

Properties
The value obtained for the polymorph energy (0 for the lowest one) is 0.000 eV/atom.


Record 22
Compound: Sr2PdSO6
Source: OQMD via LeMat-Bulk
Functional: PBE
Structure: optimized geometry

a = 6.0323 Å, b = 6.0323 Å, c = 5.4940 Å
α = 116.92°, β = 116.92°, γ = 51.67°
Positions (direct):
1 O 0.1816 0.1816 0.6832
2 O 0.2316 0.7663 0.7140
3 O 0.8184 0.8184 0.3168
4 O 0.7684 0.2337 0.2860
5 O 0.2337 0.7684 0.2860
6 O 0.7663 0.2316 0.7140
7 S 0.0000 0.0000 0.5000
8 Sr 0.6924 0.6924 0.6933
9 Sr 0.3076 0.3076 0.3067
10 Pd 0.0000 0.0000 0.0000

Properties
The value obtained for the polymorph energy (0 for the lowest one) is 0.000 eV/atom.


Record 23
Compound: TaBeNi4
Source: OQMD via LeMat-Bulk
Functional: PBE
Structure: optimized geometry

a = 2.6763 Å, b = 2.6763 Å, c = 9.4254 Å
α = 90.00°, β = 90.00°, γ = 90.00°
Positions (direct):
1 Be 0.0000 0.0000 0.0000
2 Ni 0.5000 0.5000 0.1310
3 Ni 0.0000 0.0000 0.6999
4 Ni 0.0000 0.0000 0.3001
5 Ni 0.5000 0.5000 0.8690
6 Ta 0.5000 0.5000 0.5000


Record 24
Compound: AcPm3S6
Source: OQMD via LeMat-Bulk
Functional: PBE
Structure: optimized geometry

a = 11.3891 Å, b = 4.1570 Å, c = 11.7087 Å
α = 90.00°, β = 108.45°, γ = 90.00°
Positions (direct):
1 Pm 0.5531 0.7500 0.1677
2 Pm 0.8383 0.7500 0.9118
3 Pm 0.6790 0.2500 0.5026
4 Pm 0.3210 0.7500 0.4974
5 Pm 0.4469 0.2500 0.8323
6 Pm 0.1617 0.2500 0.0882
7 S 0.8796 0.7500 0.5380
8 S 0.1963 0.7500 0.2479
9 S 0.6055 0.7500 0.9444
10 S 0.8037 0.2500 0.7521
11 S 0.7298 0.2500 0.2709
12 S 0.2702 0.7500 0.7291
13 S 0.0831 0.7500 0.9071
14 S 0.5224 0.7500 0.3912
15 S 0.9169 0.2500 0.0929
16 S 0.3945 0.2500 0.0556
17 S 0.4776 0.2500 0.6088
18 S 0.1204 0.2500 0.4620
19 Ac 0.0522 0.2500 0.6944
20 Ac 0.9478 0.7500 0.3056


Record 25
Compound: Tb2Hg
Source: OQMD via LeMat-Bulk
Functional: PBE
Structure: optimized geometry

a = 9.1498 Å, b = 9.1498 Å, c = 9.1498 Å
α = 60.00°, β = 60.00°, γ = 60.00°
Positions (direct):
1 Tb 0.3750 0.3750 0.3750
2 Tb 0.3750 0.8750 0.3750
3 Tb 0.3750 0.3750 0.8750
4 Tb 0.8750 0.3750 0.3750
5 Hg 0.2500 0.2500 0.2500
6 Hg 0.5000 0.5000 0.5000

Properties
For the formation energy, the calculation gives 1.334 eV per atom.


Taking the records one at a time from the top gives energy values of -6.758, -6.412, -6.933, -4.604, -3.444, -1.705, -3.044, -7.613, -7.017, -8.773, -6.835, -5.055, -2.319, -4.705, -9.059, -5.024, -1.830, -6.140, -4.448, -6.657, -2.750, -5.846, -6.506, -6.418, -1.852 eV per atom.